1.
Ca2CoPt: optimized geometry, PBEsol.

Computed properties:
ΔE_f: -0.01 kcal/mol of atoms
Calculated total energy: -4.742 eV/atom
Symmetry: I-4m2, No. 119

```
Ca2CoPt
1.0
-2.587 3.032 -0.875
-1.536 -0.222 3.774
5.195 1.689 0.008
Ca Co Pt
2 1 1
Direct
0.000 0.000 0.000
0.750 0.250 0.500
0.500 0.500 0.000
0.250 0.750 0.500
```

2.
Ni2HgW: optimized geometry, PBEsol.

Computed properties:
ΔE_f: 13.82 kcal/mol of atoms
Calculated total energy: -6.073 eV/atom
Symmetry: Pmmm, No. 47

```
Ni2HgW
1.0
-1.912 -0.931 1.893
-0.586 -3.527 -2.327
3.430 -2.156 2.405
Hg Ni W
1 2 1
Direct
0.000 0.500 0.500
0.000 0.000 0.000
0.500 0.000 0.500
0.500 0.500 0.000
```

3.
CaReAs2Se: optimized geometry, PBEsol.

Computed properties:
Calculated total energy: -5.991 eV/atom
Symmetry: P4/mmm, No. 123

```
CaReAs2Se
1.0
-4.515 0.769 0.741
-0.138 -3.611 2.910
1.299 3.448 4.339
Re As Ca Se
1 2 1 1
Direct
0.000 0.000 0.000
0.000 0.500 0.000
0.500 0.000 0.000
0.500 0.500 0.500
0.000 0.000 0.500
```

4.
ZnTcSe2: optimized geometry, PBEsol.

Computed properties:
Calculated total energy: -5.114 eV/atom
Symmetry: Amm2, No. 38
E above lowest polymorph: 0.299 eV per formula unit

```
ZnTcSe2
1.0
3.897 0.048 0.000
-1.008 3.765 0.000
0.000 0.000 4.919
Se Tc Zn
2 1 1
Direct
0.102 0.898 0.000
0.648 0.352 0.500
0.501 0.499 0.000
0.257 0.743 0.500
```

5.
BaMn2: optimized geometry, PBEsol.

Computed properties:
ΔE_f: 18.99 kcal/mol of atoms
Calculated total energy: -6.400 eV/atom
Symmetry: Cmcm, No. 63

```
BaMn2
1.0
4.437 0.000 0.000
0.000 5.099 0.000
0.000 -2.549 5.616
Ba Mn
2 4
Direct
0.750 0.752 0.000
0.250 0.248 0.000
0.750 0.137 0.520
0.250 0.863 0.480
0.750 0.617 0.480
0.250 0.383 0.520
```

6.
WSe5: optimized geometry, PBEsol.

Computed properties:
Calculated total energy: -5.261 eV/atom
Symmetry: P-62m, No. 189
E above lowest polymorph: 0.000 eV per formula unit

```
WSe5
1.0
2.986 0.000 0.000
0.000 7.364 0.000
0.000 -3.682 6.377
Se W
5 1
Direct
0.000 0.270 0.270
0.000 0.730 0.000
0.000 0.000 0.730
0.500 0.333 0.667
0.500 0.667 0.333
0.500 0.000 0.000
```

7.
TlInBr: optimized geometry, PBEsol.

Computed properties:
Calculated total energy: -2.591 eV/atom
Symmetry: F-43m, No. 216
E above lowest polymorph: 0.562 eV per formula unit

```
TlInBr
1.0
-2.311 -4.216 2.064
2.656 -3.101 3.271
-1.217 -0.089 5.087
Tl Br In
1 1 1
Direct
0.000 0.000 0.000
0.500 0.500 0.500
0.250 0.250 0.250
```

8.
Cu2SbMo: optimized geometry, PBEsol.

Computed properties:
Calculated total energy: -5.867 eV/atom
Symmetry: F-43m, No. 216

```
Cu2SbMo
1.0
4.393 0.000 0.000
2.197 3.805 0.000
2.197 1.268 3.587
Cu Mo Sb
2 1 1
Direct
0.000 0.000 0.000
0.750 0.750 0.750
0.500 0.500 0.500
0.250 0.250 0.250
```

9.
BaLa3Ir: optimized geometry, PBEsol.

Computed properties:
ΔE_f: -5.25 kcal/mol of atoms
Calculated total energy: -5.830 eV/atom
Symmetry: Pm-3m, No. 221
E above lowest polymorph: 0.158 eV per formula unit

```
BaLa3Ir
1.0
5.724 0.000 0.000
0.000 5.724 0.000
0.000 0.000 5.724
Ir Ba La
1 1 3
Direct
0.000 0.000 0.000
0.500 0.500 0.500
0.000 0.500 0.000
0.000 0.000 0.500
0.500 0.000 0.000
```

10.
Fe2PRu: optimized geometry, PBEsol.

Computed properties:
ΔE_f: -4.57 kcal/mol of atoms
Calculated total energy: -8.671 eV/atom
Symmetry: Amm2, No. 38

```
Fe2PRu
1.0
-1.079 1.637 1.741
-3.090 -1.562 -0.446
1.602 -3.950 2.733
Fe P Ru
2 1 1
Direct
0.937 0.000 0.875
0.292 0.500 0.585
0.718 0.000 0.437
0.556 0.500 0.112
```

11.
LaSe3I: optimized geometry, PBEsol.

Computed properties:
Calculated total energy: -3.818 eV/atom
Symmetry: Pm-3m, No. 221

```
LaSe3I
1.0
5.755 0.000 0.000
0.000 5.755 0.000
0.000 0.000 5.755
I Se La
1 3 1
Direct
0.500 0.500 0.500
0.000 0.500 0.000
0.000 0.000 0.500
0.500 0.000 0.000
0.000 0.000 0.000
```

12.
CaAuSe: optimized geometry, PBEsol.

Computed properties:
Calculated total energy: -4.056 eV/atom
Symmetry: F-43m, No. 216
E above lowest polymorph: 0.282 eV per formula unit

```
CaAuSe
1.0
-0.356 3.619 -3.012
2.319 -0.113 -4.111
-2.385 -0.518 -4.042
Ca Au Se
1 1 1
Direct
0.500 0.500 0.500
0.000 0.000 0.000
0.250 0.250 0.250
```

13.
Mg3As2O8: optimized geometry, PBEsol.

Computed properties:
Calculated total energy: -6.434 eV/atom
Symmetry: Cmce, No. 64

```
Mg3As2O8
1.0
-3.596 2.708 4.048
4.916 -3.501 2.182
4.832 6.676 -0.173
Mg As O
6 4 16
Direct
0.389 0.279 0.250
0.111 0.721 0.750
0.500 0.000 0.500
0.000 0.000 0.000
0.611 0.721 0.750
0.889 0.279 0.250
0.620 0.240 0.885
0.380 0.760 0.115
0.880 0.760 0.385
0.120 0.240 0.615
0.148 0.762 0.999
0.385 0.238 0.001
0.115 0.762 0.501
0.352 0.238 0.499
0.501 0.003 0.250
0.999 0.997 0.750
0.754 0.508 0.271
0.746 0.492 0.771
0.246 0.492 0.729
0.254 0.508 0.229
0.001 0.003 0.250
0.499 0.997 0.750
0.648 0.762 0.501
0.885 0.238 0.499
0.615 0.762 0.999
0.852 0.238 0.001
```

14.
Tb2S3O12: optimized geometry, PBEsol.

Computed properties:
Calculated total energy: -7.270 eV/atom
Symmetry: Pbcn, No. 60

```
Tb2S3O12
1.0
-0.696 -7.772 -4.987
7.892 -3.185 3.861
-6.858 -5.479 9.496
Tb S O
8 12 48
Direct
0.250 0.465 0.117
0.750 0.535 0.883
0.250 0.965 0.383
0.250 0.035 0.883
0.750 0.035 0.617
0.750 0.965 0.117
0.250 0.535 0.617
0.750 0.465 0.383
0.533 0.250 0.000
0.467 0.750 0.000
0.967 0.750 0.500
0.033 0.250 0.500
0.109 0.111 0.145
0.891 0.889 0.855
0.391 0.611 0.355
0.109 0.389 0.855
0.609 0.389 0.645
0.891 0.611 0.145
0.391 0.889 0.645
0.609 0.111 0.355
0.167 0.072 0.042
0.833 0.928 0.958
0.333 0.572 0.458
0.167 0.428 0.958
0.667 0.428 0.542
0.833 0.572 0.042
0.333 0.928 0.542
0.667 0.072 0.458
0.175 0.017 0.224
0.825 0.983 0.776
0.325 0.517 0.276
0.175 0.483 0.776
0.675 0.483 0.724
0.825 0.517 0.224
0.325 0.983 0.724
0.675 0.017 0.276
0.125 0.151 0.441
0.875 0.849 0.559
0.375 0.651 0.059
0.125 0.349 0.559
0.625 0.349 0.941
0.875 0.651 0.441
0.375 0.849 0.941
0.625 0.151 0.059
0.142 0.262 0.168
0.858 0.738 0.832
0.358 0.762 0.332
0.142 0.238 0.832
0.642 0.238 0.668
0.858 0.762 0.168
0.358 0.738 0.668
0.642 0.262 0.332
0.442 0.331 0.073
0.558 0.669 0.927
0.058 0.831 0.427
0.442 0.169 0.927
0.942 0.169 0.573
0.558 0.831 0.073
0.058 0.669 0.573
0.942 0.331 0.427
0.451 0.091 0.354
0.549 0.909 0.646
0.049 0.591 0.146
0.451 0.409 0.646
0.951 0.409 0.854
0.549 0.591 0.354
0.049 0.909 0.854
0.951 0.091 0.146
```

15.
BeCdRe2: optimized geometry, PBEsol.

Computed properties:
ΔE_f: 21.40 kcal/mol of atoms
Calculated total energy: -7.037 eV/atom
Symmetry: Fm-3m, No. 225
E above lowest polymorph: 2.217 eV per formula unit

```
BeCdRe2
1.0
-3.502 -2.469 -0.373
0.081 -4.071 1.386
-2.223 -1.122 3.507
Re Be Cd
2 1 1
Direct
0.750 0.750 0.750
0.250 0.250 0.250
0.000 0.000 0.000
0.500 0.500 0.500
```

16.
Ho2InHg: optimized geometry, PBEsol.

Computed properties:
ΔE_f: -12.33 kcal/mol of atoms
Calculated total energy: -3.897 eV/atom
Symmetry: Fm-3m, No. 225

```
Ho2InHg
1.0
5.179 0.000 0.000
2.590 4.485 0.000
2.590 1.495 4.229
Ho Hg In
2 1 1
Direct
0.750 0.750 0.750
0.250 0.250 0.250
0.000 0.000 0.000
0.500 0.500 0.500
```

17.
Al2CdHg: optimized geometry, PBEsol.

Computed properties:
ΔE_f: 3.12 kcal/mol of atoms
Calculated total energy: -2.352 eV/atom
Symmetry: I4/mmm, No. 139
E above lowest polymorph: 0.010 eV per formula unit

```
Al2CdHg
1.0
4.264 0.000 0.000
0.000 4.264 0.000
-2.132 -2.132 4.237
Al Hg Cd
2 1 1
Direct
0.750 0.250 0.500
0.250 0.750 0.500
0.000 0.000 0.000
0.500 0.500 0.000
```

18.
Tl2CdPt: optimized geometry, PBEsol.

Computed properties:
ΔE_f: 2.17 kcal/mol of atoms
Calculated total energy: -3.261 eV/atom
Symmetry: P4/mmm, No. 123
E above lowest polymorph: 0.559 eV per formula unit

```
Tl2CdPt
1.0
3.263 0.057 0.000
-0.058 3.263 0.000
0.000 0.000 8.296
Tl Pt Cd
2 1 1
Direct
0.000 0.000 0.215
0.000 0.000 0.785
0.500 0.500 0.000
0.500 0.500 0.500
```

19.
ScHg2: optimized geometry, PBEsol.

Computed properties:
ΔE_f: -9.61 kcal/mol of atoms
Calculated total energy: -2.996 eV/atom
Symmetry: P6_3/mmc, No. 194

```
ScHg2
1.0
4.882 0.000 0.000
-2.441 4.228 0.000
0.000 0.000 5.995
Sc Hg
2 4
Direct
0.667 0.333 0.250
0.333 0.667 0.750
0.000 0.000 0.000
0.000 0.000 0.500
0.667 0.333 0.750
0.333 0.667 0.250
```

20.
Hf3InFe: optimized geometry, PBEsol.

Computed properties:
ΔE_f: 40.10 kcal/mol of atoms
Calculated total energy: -6.952 eV/atom
Symmetry: Pm-3m, No. 221

```
Hf3InFe
1.0
-4.997 0.837 0.676
-0.153 -3.730 3.492
1.065 3.394 3.671
Hf Fe In
3 1 1
Direct
0.000 0.500 0.000
0.000 0.000 0.500
0.500 0.000 0.000
0.500 0.500 0.500
0.000 0.000 0.000
```

21.
TiZnHg3: optimized geometry, PBEsol.

Computed properties:
ΔE_f: 14.03 kcal/mol of atoms
Calculated total energy: -1.713 eV/atom
Symmetry: Pm-3m, No. 221

```
TiZnHg3
1.0
-1.377 -2.880 3.715
4.003 1.312 2.500
-2.465 3.738 1.985
Zn Hg Ti
1 3 1
Direct
0.000 0.000 0.000
0.000 0.500 0.000
0.000 0.000 0.500
0.500 0.000 0.000
0.500 0.500 0.500
```

22.
K3B12H12Br: optimized geometry, PBEsol.

Computed properties:
Calculated total energy: -5.060 eV/atom
Symmetry: R-3m, No. 166

```
K3B12H12Br
1.0
-6.253 -1.320 -2.147
2.460 -5.855 -2.264
-1.169 -2.406 6.189
K B H Br
3 12 12 1
Direct
0.500 0.000 0.500
0.000 0.500 0.500
0.500 0.500 0.000
0.937 0.937 0.758
0.937 0.758 0.937
0.758 0.937 0.937
0.242 0.063 0.063
0.063 0.063 0.242
0.063 0.242 0.063
0.126 0.126 0.835
0.126 0.835 0.126
0.835 0.126 0.126
0.165 0.874 0.874
0.874 0.874 0.165
0.874 0.165 0.874
0.108 0.108 0.416
0.108 0.416 0.108
0.416 0.108 0.108
0.584 0.892 0.892
0.892 0.892 0.584
0.892 0.584 0.892
0.219 0.219 0.718
0.219 0.718 0.219
0.718 0.219 0.219
0.282 0.781 0.781
0.781 0.781 0.282
0.781 0.282 0.781
0.500 0.500 0.500
```

23.
Be2TeIr: optimized geometry, PBEsol.

Computed properties:
Calculated total energy: -5.444 eV/atom
Symmetry: P3m1, No. 156

```
Be2TeIr
1.0
-1.041 -2.785 -2.299
3.420 -0.028 1.558
-1.882 -2.667 4.083
Be Ir Te
2 1 1
Direct
0.333 0.667 0.822
0.000 0.000 0.750
0.667 0.333 0.619
0.333 0.667 0.310
```